(1)
Density functional theory data (PBE) for a relaxed structure of Pu3Zn.

Cell: 3.041 5.145 5.621 Å, 90.00 90.00 90.00°
Space group Pmm2 (No. 25)
Unique sites:
Pu (0.000, 0.000, 0.000) (multiplicity 1)
Pu (0.000, 0.500, 0.385) (multiplicity 1)
Pu (0.500, 0.500, 0.868) (multiplicity 1)
Zn (0.500, 0.000, 0.520) (multiplicity 1)

Properties
The calculated formation energy is 0.104 eV per atom. The density of states at the Fermi level comes out at 17.46 states/eV/f.u. The energy above the most stable polymorph in this dataset comes out at 0 meV per atom.

***

(2)
Density functional theory data (PBE) for a relaxed structure of PuZn2.

Cell: 2.543 2.543 14.284 Å, 90.00 90.00 90.00°
Space group I4/mmm (No. 139)
Unique sites:
Pu (0.000, 0.000, 0.000) (multiplicity 2)
Zn (0.000, 0.000, 0.324) (multiplicity 4)

Properties
The calculated formation energy is 0.152 eV per atom. The density of states at the Fermi level comes out at 3.56 states/eV/f.u.

***

(3)
Density functional theory data (PBE) for a relaxed structure of PuZrZn2.

Cell: 5.226 5.226 2.968 Å, 90.00 90.00 90.00°
Space group P4/mmm (No. 123)
Unique sites:
Pu (0.000, 0.000, 0.000) (multiplicity 1)
Zr (0.500, 0.500, 0.000) (multiplicity 1)
Zn (0.000, 0.500, 0.500) (multiplicity 2)

Properties
The calculated formation energy is -0.085 eV per atom. The density of states at the Fermi level comes out at 8.19 states/eV/f.u.